Entry from Alexandria: a relaxed Al3CoO crystal (GGA+U).

```
Al3CoO
1.0
4.353 0.000 0.000
0.000 4.353 0.000
0.000 0.000 4.353
Al Co O
3 1 1
direct
0.000 0.000 0.500 Al
0.000 0.500 0.000 Al
0.500 0.000 0.000 Al
0.000 0.000 0.000 Co
0.500 0.500 0.500 O
```

Results
**Energy above the lowest structure with this stoichiometry**: 12.25 kcal/mol of atoms
**Calculated volume**: 16.5 Å³/atom
**VASP energy**: -4.01 eV/atom
**SG**: Pm-3m (221)
**N(E_F)**: 0.56 states/eV per atom
**M_tot**: 0.00 μB per formula unit
**Crystal system**: cubic